1.
A plane-wave DFT calculation with PBE-GGA was carried out for crystalline LaY2PbN at its relaxed geometry.

Cell lengths 4.8789, 4.8789, 5.1044 Å; angles 90.00, 90.00, 90.00 degrees
Fractional coordinates of all 5 atoms:
Pb  0.5000  0.5000  0.5000
N  0.0000  0.0000  0.0000
Y  0.0000  0.5000  0.0000
Y  0.5000  0.0000  0.0000
La  0.0000  0.0000  0.5000

Output
- Space group: P4/mmm
- Energy relative to the elements, uncorrected: -0.93 eV/atom

=====

2.
A plane-wave DFT calculation with PBE-GGA was carried out for crystalline Nd6Cd2NO at its relaxed geometry.

Cell lengths 7.0905, 7.0905, 10.0360 Å; angles 90.00, 90.00, 90.00 degrees
Fractional coordinates of all 20 atoms:
O  0.0000  0.7498  0.5000
O  0.5000  0.2502  0.0000
Cd  0.0000  0.2502  0.2500
Cd  0.5000  0.7498  0.7500
Cd  0.0000  0.2502  0.7500
Cd  0.5000  0.7498  0.2500
Nd  0.7479  0.4976  0.5000
Nd  0.0000  0.7503  0.2479
Nd  0.5000  0.2497  0.7479
Nd  0.7522  0.9980  0.0000
Nd  0.5000  0.2497  0.2521
Nd  0.7478  0.0020  0.5000
Nd  0.2478  0.9980  0.0000
Nd  0.0000  0.7503  0.7521
Nd  0.2479  0.5024  0.0000
Nd  0.2521  0.4976  0.5000
Nd  0.2522  0.0020  0.5000
Nd  0.7521  0.5024  0.0000
N  0.0000  0.7502  0.0000
N  0.5000  0.2498  0.5000

Output
- Space group: Fm-3m
- Energy relative to the elements, uncorrected: -1.01 eV/atom

=====

3.
A plane-wave DFT calculation with PBE-GGA was carried out for crystalline SrFe2Re at its relaxed geometry.

Cell lengths 4.5341, 4.5341, 4.5341 Å; angles 60.00, 60.00, 60.00 degrees
Each line ends with the local moment (μB).
Fractional coordinates of all 4 atoms:
Fe  0.2500  0.2500  0.2500  1.90
Fe  0.7500  0.7500  0.7500  1.90
Re  0.5000  0.5000  0.5000  -0.41
Sr  0.0000  0.0000  0.0000  -0.06

Output
- Space group: Fm-3m
- E above lowest polymorph: 2.51 eV/f.u.
- Energy relative to the elements: 4.15 eV per formula unit

=====

4.
A plane-wave DFT calculation with PBE-GGA was carried out for crystalline NaLi2Tl6 at its relaxed geometry.

Cell lengths 5.3023, 9.9852, 9.9852 Å; angles 66.61, 84.03, 84.03 degrees
Fractional coordinates of all 18 atoms:
Tl  0.3319  0.8837  0.6363
Tl  0.2946  0.7521  0.0033
Tl  0.7946  0.0033  0.7521
Tl  0.9688  0.4439  0.6763
Tl  0.5312  0.3237  0.5561
Tl  0.4688  0.6763  0.4439
Tl  0.8319  0.6363  0.8837
Tl  0.7054  0.2479  0.9967
Tl  0.1681  0.3637  0.1163
Tl  0.2054  0.9967  0.2479
Tl  0.0312  0.5561  0.3237
Tl  0.6681  0.1163  0.3637
Li  0.3901  0.5377  0.7908
Li  0.1099  0.2092  0.4623
Li  0.6099  0.4623  0.2092
Li  0.8901  0.7908  0.5377
Na  0.2500  0.1238  0.8762
Na  0.7500  0.8762  0.1238

Output
- Space group: C2/c
- E above lowest polymorph: 0.00 eV/f.u.
- Energy relative to the elements: -0.82 eV per formula unit

=====

5.
A plane-wave DFT calculation with PBE-GGA was carried out for crystalline ZrSc2Cl at its relaxed geometry.

Cell lengths 5.0494, 5.0494, 5.0494 Å; angles 60.00, 60.00, 60.00 degrees
Each line ends with the local moment (μB).
Fractional coordinates of all 4 atoms:
Sc  0.7500  0.7500  0.7500  0.19
Sc  0.2500  0.2500  0.2500  0.19
Zr  0.5000  0.5000  0.5000  0.76
Cl  0.0000  0.0000  0.0000  0.00

Output
- Space group: Fm-3m
- E above lowest polymorph: 3.60 eV/f.u.
- Energy relative to the elements, uncorrected: 0.27 eV/atom

=====

6.
A plane-wave DFT calculation with PBE-GGA was carried out for crystalline PmPr2DyEr4 at its relaxed geometry.

Cell lengths 5.1082, 5.0820, 11.2166 Å; angles 63.05, 90.00, 90.00 degrees
Fractional coordinates of all 8 atoms:
Pr  0.0000  0.0000  0.0000
Pr  0.5000  0.0000  0.5000
Er  0.0000  0.2482  0.2517
Er  0.0000  0.7518  0.7483
Er  0.5000  0.7487  0.2513
Er  0.5000  0.2513  0.7487
Pm  0.5000  0.5000  0.0000
Dy  0.0000  0.5000  0.5000

Output
- Space group: Pmmm
- Energy relative to the elements: 0.18 eV per formula unit

=====

7.
A plane-wave DFT calculation with PBE-GGA was carried out for crystalline Ho8Al3Bi2 at its relaxed geometry.

Cell lengths 4.9465, 10.0710, 9.1444 Å; angles 123.41, 89.99, 90.00 degrees
Fractional coordinates of all 13 atoms:
Ho  0.4999  0.6388  0.7664
Ho  0.9996  0.3915  0.7829
Ho  0.9998  0.1228  0.2457
Ho  0.4999  0.1276  0.7664
Ho  0.0002  0.8772  0.7543
Ho  0.0004  0.6085  0.2171
Ho  0.5001  0.8724  0.2336
Ho  0.5001  0.3612  0.2336
Al  0.0000  0.7532  0.0000
Al  0.5000  0.0000  0.0000
Al  0.0000  0.2468  0.0000
Bi  0.4995  0.2610  0.5220
Bi  0.5005  0.7390  0.4780

Output
- Space group: Cmmm
- Energy relative to the elements: -3.84 eV per formula unit

=====

8.
A plane-wave DFT calculation with PBE-GGA was carried out for crystalline AcGdRu at its relaxed geometry.

Cell lengths 5.0064, 5.0064, 5.0064 Å; angles 60.00, 60.00, 60.00 degrees
Each line ends with the local moment (μB).
Fractional coordinates of all 3 atoms:
Ru  0.2500  0.2500  0.2500  -0.13
Ac  0.5000  0.5000  0.5000  0.02
Gd  0.0000  0.0000  0.0000  7.07

Output
- Space group: F-43m
- E above lowest polymorph: 0.00 eV/f.u.
- Energy relative to the elements: -0.41 eV per formula unit